(i)
ErAlTc after structural relaxation, computed with GGA-PBE.

Lattice parameters (Å, degrees): 5.361 5.540 7.534 90.00 90.00 90.00
Space group Imma (No. 74)
One atom of each set of equivalent atoms:
1 Er 0.000 0.250 0.116 (multiplicity 4)
2 Al 0.000 0.000 0.500 (multiplicity 4)
3 Tc 0.250 0.250 0.750 (multiplicity 4)


(ii)
ErAlTc after structural relaxation, computed with GGA-PBE.

Lattice parameters (Å, degrees): 5.706 5.706 8.650 90.00 90.00 90.00
Space group P4_12_12 (No. 92)
One atom of each set of equivalent atoms:
1 Er 0.226 0.226 0.000 (multiplicity 4)
2 Al 0.139 0.139 0.500 (multiplicity 4)
3 Tc 0.064 0.936 0.750 (multiplicity 4)


(iii)
ErAlTc after structural relaxation, computed with GGA-PBE.

Lattice parameters (Å, degrees): 3.415 3.415 9.741 90.00 90.00 90.00
Space group I4mm (No. 107)
One atom of each set of equivalent atoms:
1 Er 0.000 0.000 0.000 (multiplicity 2)
2 Al 0.000 0.000 0.707 (multiplicity 2)
3 Tc 0.000 0.000 0.313 (multiplicity 2)


(i) comes first in stability; the runner-up is 189 meV/atom higher.


(i)
Er2AlTe after structural relaxation, computed with GGA-PBE.

Lattice parameters (Å, degrees): 4.0412 4.0412 23.2441 90.00 90.00 120.00
Space group R-3m (No. 166, hexagonal axes)
One atom of each set of equivalent atoms:
1 Er 0.0000 0.0000 0.2474 (multiplicity 6)
2 Al 0.0000 0.0000 0.5000 (multiplicity 3)
3 Te 0.0000 0.0000 0.0000 (multiplicity 3)


(ii)
Er2AlTe after structural relaxation, computed with GGA-PBE.

Lattice parameters (Å, degrees): 4.379 23.315 4.150 90.00 90.00 90.00
Space group Cmcm (No. 63)
One atom of each set of equivalent atoms:
1 Er 0.000 0.063 0.250 (multiplicity 4)
2 Er 0.000 0.333 0.250 (multiplicity 4)
3 Al 0.000 0.463 0.250 (multiplicity 4)
4 Te 0.000 0.195 0.250 (multiplicity 4)


(ii) comes first in stability; the runner-up is 144 meV/atom higher.


(i)
ErAlTe3 after structural relaxation, computed with GGA-PBE.

Lattice parameters (Å, degrees): 4.275 25.517 7.137 90.00 90.00 90.00
Space group Ama2 (No. 40)
One atom of each set of equivalent atoms:
1 Er 0.250 0.174 0.000 (multiplicity 4)
2 Al 0.250 0.369 0.917 (multiplicity 4)
3 Te 0.250 0.081 0.274 (multiplicity 4)
4 Te 0.250 0.275 0.755 (multiplicity 4)
5 Te 0.250 0.381 0.280 (multiplicity 4)


(ii)
ErAlTe3 after structural relaxation, computed with GGA-PBE.

Lattice parameters (Å, degrees): 8.273 11.731 7.345 90.00 90.00 90.00
Space group Pnma (No. 62)
One atom of each set of equivalent atoms:
1 Er 0.000 0.000 0.000 (multiplicity 4)
2 Al 0.177 0.250 0.461 (multiplicity 4)
3 Te 0.004 0.250 0.146 (multiplicity 4)
4 Te 0.178 0.065 0.653 (multiplicity 8)


(i) comes first in stability; the runner-up is 122 meV/atom higher.


(i)
ErTh2Al after structural relaxation, computed with GGA-PBE.

Lattice parameters (Å, degrees): 4.782 4.782 4.882 90.00 90.00 90.00
Space group P4/mmm (No. 123)
One atom of each set of equivalent atoms:
1 Er 0.000 0.000 0.000 (multiplicity 1)
2 Th 0.000 0.500 0.500 (multiplicity 2)
3 Al 0.500 0.500 0.000 (multiplicity 1)


(ii)
ErTh2Al after structural relaxation, computed with GGA-PBE.

Lattice parameters (Å, degrees): 3.3598 3.3598 35.5371 90.00 90.00 120.00
Space group R-3m (No. 166, hexagonal axes)
One atom of each set of equivalent atoms:
1 Er 0.0000 0.0000 0.0000 (multiplicity 3)
2 Th 0.0000 0.0000 0.0929 (multiplicity 6)
3 Al 0.0000 0.0000 0.5000 (multiplicity 3)


(iii)
ErTh2Al after structural relaxation, computed with GGA-PBE.

Lattice parameters (Å, degrees): 7.675 7.675 7.675 90.00 90.00 90.00
Space group Fm-3m (No. 225)
One atom of each set of equivalent atoms:
1 Er 0.000 0.000 0.000 (multiplicity 4)
2 Th 0.250 0.250 0.250 (multiplicity 8)
3 Al 0.000 0.000 0.500 (multiplicity 4)


(iv)
ErTh2Al after structural relaxation, computed with GGA-PBE.

Lattice parameters (Å, degrees): 3.459 3.459 9.621 90.00 90.00 90.00
Space group P4/mmm (No. 123)
One atom of each set of equivalent atoms:
1 Er 0.000 0.000 0.000 (multiplicity 1)
2 Th 0.500 0.500 0.279 (multiplicity 2)
3 Al 0.000 0.000 0.500 (multiplicity 1)


(i) comes first in stability; the runner-up is 83 meV/atom higher.


(i)
ErThAl after structural relaxation, computed with GGA-PBE.

Lattice parameters (Å, degrees): 5.1066 5.1066 3.6061 90.00 90.00 120.00
Space group P3m1 (No. 156)
One atom of each set of equivalent atoms:
1 Er 0.0000 0.0000 0.0000 (multiplicity 1)
2 Th 0.6667 0.3333 0.5512 (multiplicity 1)
3 Al 0.3333 0.6667 0.1884 (multiplicity 1)


(ii)
ErThAl after structural relaxation, computed with GGA-PBE.

Lattice parameters (Å, degrees): 4.772 4.772 7.529 90.00 90.00 90.00
Space group P4/nmm (No. 129, origin choice 2)
One atom of each set of equivalent atoms:
1 Er 0.250 0.250 0.248 (multiplicity 2)
2 Th 0.250 0.250 0.719 (multiplicity 2)
3 Al 0.250 0.750 0.000 (multiplicity 2)


(i) comes first in stability; the runner-up is 68 meV/atom higher.


(i)
ErThAl after structural relaxation, computed with GGA-PBE.

Lattice parameters (Å, degrees): 8.674 5.014 7.331 90.00 90.10 90.00
Space group C2/m (No. 12)
One atom of each set of equivalent atoms:
1 Er 0.167 0.000 0.398 (multiplicity 4)
2 Th 0.167 0.000 0.890 (multiplicity 4)
3 Al 0.000 0.500 0.297 (multiplicity 4)


(ii)
ErThAl after structural relaxation, computed with GGA-PBE.

Lattice parameters (Å, degrees): 3.472 3.472 13.476 90.00 90.00 90.00
Space group I4mm (No. 107)
One atom of each set of equivalent atoms:
1 Er 0.000 0.000 0.000 (multiplicity 2)
2 Th 0.000 0.000 0.702 (multiplicity 2)
3 Al 0.000 0.000 0.357 (multiplicity 2)


(ii) comes first in stability; the runner-up is 109 meV/atom higher.